[1]
{"formula": "NiP5", "functional": "SCAN", "state": "PBEsol geometry", "lattice": [[3.387, 0.000, 0.000], [0.000, 10.224, 0.000], [0.000, 0.000, 4.693]], "species": ["Ni", "Ni", "P", "P", "P", "P", "P", "P", "P", "P", "P", "P"], "frac_coords": [[0.000, 0.000, 0.000], [0.500, 0.500, 0.000], [0.000, 0.000, 0.500], [0.000, 0.328, 0.500], [0.000, 0.348, 0.000], [0.000, 0.652, 0.000], [0.000, 0.672, 0.500], [0.500, 0.152, 0.000], [0.500, 0.172, 0.500], [0.500, 0.500, 0.500], [0.500, 0.828, 0.500], [0.500, 0.848, 0.000]], "space_group": "Cmmm (65)", "m_tot_mub_per_cell": 0.00, "formation_enthalpy_0k_kj_per_mol_fu": 40.7}

***

[2]
{"formula": "BAsO4", "functional": "SCAN", "state": "PBEsol geometry", "lattice": [[4.524, 0.000, 0.000], [0.000, 4.524, 0.000], [0.000, 0.000, 6.799]], "species": ["B", "B", "As", "As", "O", "O", "O", "O", "O", "O", "O", "O"], "frac_coords": [[0.000, 0.000, 0.000], [0.500, 0.500, 0.500], [0.000, 0.500, 0.750], [0.500, 0.000, 0.250], [0.161, 0.778, 0.883], [0.222, 0.161, 0.117], [0.278, 0.339, 0.617], [0.339, 0.722, 0.383], [0.661, 0.278, 0.383], [0.722, 0.661, 0.617], [0.778, 0.839, 0.117], [0.839, 0.222, 0.883]], "formation_energy_uncorrected_ev_per_atom": -1.833, "space_group": "I-4 (82)", "m_tot_mub_per_cell": 0.00, "de_polymorph_mev_per_atom": 0}

***

[3]
{"formula": "In2ReW", "functional": "SCAN", "state": "PBEsol geometry", "lattice": [[9.516, 0.000, 0.000], [0.000, 2.992, 0.000], [-0.941, 0.000, 4.887]], "species": ["In", "In", "In", "In", "Re", "Re", "W", "W"], "frac_coords": [[0.248, 0.000, 0.247], [0.252, 0.500, 0.753], [0.748, 0.500, 0.247], [0.752, 0.000, 0.753], [0.000, 0.500, 0.000], [0.500, 0.000, 0.000], [0.000, 0.000, 0.500], [0.500, 0.500, 0.500]], "space_group": "C2/m (12)", "m_tot_mub_per_cell": 0.00, "de_polymorph_mev_per_atom": 158, "formation_enthalpy_0k_kj_per_mol_fu": 275.9}

***

[4]
{"formula": "HgOsRu2Pb", "functional": "SCAN", "state": "PBEsol geometry", "lattice": [[4.846, 0.000, 0.000], [0.000, 4.846, 0.000], [0.000, 0.000, 5.183]], "species": ["Hg", "Os", "Ru", "Ru", "Pb"], "frac_coords": [[0.000, 0.000, 0.000], [0.500, 0.500, 0.500], [0.000, 0.500, 0.000], [0.500, 0.000, 0.000], [0.000, 0.000, 0.500]], "space_group": "P4/mmm (123)", "m_tot_mub_per_cell": 7.14, "formation_enthalpy_0k_kj_per_mol_fu": 1343.5}

***

[5]
{"formula": "CsSbBr3", "functional": "SCAN", "state": "PBEsol geometry", "lattice": [[5.726, 0.000, 0.000], [0.000, 5.726, 0.000], [0.000, 0.000, 5.726]], "species": ["Cs", "Sb", "Br", "Br", "Br"], "frac_coords": [[0.000, 0.000, 0.000], [0.500, 0.500, 0.500], [0.000, 0.500, 0.500], [0.500, 0.000, 0.500], [0.500, 0.500, 0.000]], "formation_energy_uncorrected_ev_per_atom": -1.057, "space_group": "Pm-3m (221)", "m_tot_mub_per_cell": 0.00}

***

[6]
{"formula": "CsNb3N", "functional": "SCAN", "state": "PBEsol geometry", "lattice": [[4.945, 0.000, 0.000], [0.000, 4.945, 0.000], [0.000, 0.000, 4.945]], "species": ["Cs", "Nb", "Nb", "Nb", "N"], "frac_coords": [[0.000, 0.000, 0.000], [0.000, 0.000, 0.500], [0.000, 0.500, 0.000], [0.500, 0.000, 0.000], [0.500, 0.500, 0.500]], "formation_energy_uncorrected_ev_per_atom": 3.931, "space_group": "Pm-3m (221)", "m_tot_mub_per_cell": 0.00}